# PBE NaPm2YS4, optimized geometry
data_NaPm2YS4
_cell_length_a 6.937
_cell_length_b 3.991
_cell_length_c 6.939
_cell_angle_alpha 90.00
_cell_angle_beta 109.19
_cell_angle_gamma 90.00
_space_group_name_H-M_alt 'P 1 2/m 1'
_space_group_IT_number 10
loop_
_space_group_symop_operation_xyz
'x,y,z'
'-x,-y,-z'
'-x,y,-z'
'x,-y,z'
loop_
_atom_site_label
_atom_site_fract_x
_atom_site_fract_y
_atom_site_fract_z
_atom_site_occupancy
Na1 0.000 0.000 0.000 1
Pm1 0.500 0.000 0.500 1
Pm2 0.500 0.500 0.000 1
Y1 0.000 0.500 0.500 1
S1 0.241 0.000 0.745 1
S2 0.247 0.500 0.254 1
# final energy	-49.14	eV per cell